TlCr2F after structural relaxation. Source: Alexandria via LeMat-Bulk, functional GGA+U.

a b c (Å): 5.780 5.780 7.256
angles (deg): 66.53 66.53 90.00
Each line ends with the local moment (μB).
Fractional positions:
Cr (0.375, 0.125, 0.250)  4.23
Cr (0.375, 0.625, 0.250)  4.23
Cr (0.375, 0.625, 0.750)  4.21
Cr (0.875, 0.625, 0.750)  4.19
Tl (0.000, 0.000, 0.000)  -0.09
Tl (0.750, 0.250, 0.500)  -0.09
F (0.500, 0.500, 0.000)  -0.04
F (0.250, 0.750, 0.500)  -0.04

Output
DFT total energy: -40.0 eV per cell
Fermi-level density of states: 5.04 states/eV/cell